No. 1
The following is a PBE calculation of a relaxed structure of LaNd5Mg6, from the Alexandria database.

a b c (Å): 5.515 16.542 7.815
angles (deg): 90.00 90.00 90.00
Space group Cmmm (No. 65)
Inequivalent atoms, fractional coordinates:
La 0.000 0.000 0.000
Nd 0.000 0.000 0.500
Nd 0.000 0.333 0.000
Nd 0.000 0.335 0.500
Mg 0.000 0.168 0.253
Mg 0.000 0.500 0.252

Values from the calculation:
Total magnetization: 0.00 μB per formula unit
DFT formation energy: -0.113 eV/atom

No. 2
The following is a PBE calculation of a relaxed structure of La3Nd12Ag, from the Alexandria database.

a b c (Å): 5.163 5.163 20.568
angles (deg): 90.00 90.00 90.00
Space group P4/mmm (No. 123)
Inequivalent atoms, fractional coordinates:
La 0.000 0.000 0.000
La 0.000 0.000 0.256
Nd 0.000 0.500 0.128
Nd 0.000 0.500 0.383
Nd 0.500 0.500 0.000
Nd 0.500 0.500 0.260
Nd 0.500 0.500 0.500
Ag 0.000 0.000 0.500

Values from the calculation:
Total magnetization: 0.00 μB per formula unit
DFT formation energy: 0.023 eV/atom

No. 3
The following is a PBE calculation of a relaxed structure of Na3GaPb3O8, from the Alexandria database.

a b c (Å): 11.537 6.810 6.819
angles (deg): 90.00 123.76 90.00
Space group C2/m (No. 12)
Inequivalent atoms, fractional coordinates:
Na 0.000 0.000 0.000
Na 0.250 0.250 0.000
Ga 0.000 0.000 0.500
Pb 0.000 0.500 0.500
Pb 0.250 0.250 0.500
O 0.017 0.211 0.305
O 0.226 0.000 0.706
O 0.247 0.000 0.271

Values from the calculation:
Raw formation energy: -1.24 eV/atom
Total magnetization: 0.00 μB per formula unit

No. 4
The following is a PBE calculation of a relaxed structure of AlCdPbF6, from the Alexandria database.

a b c (Å): 6.1624 6.1624 8.1951
angles (deg): 90.00 90.00 120.00
Space group P-31c (No. 163)
Inequivalent atoms, fractional coordinates:
Al 0.3333 0.6667 0.2500
Cd 0.0000 0.0000 0.0000
Pb 0.3333 0.6667 0.7500
F 0.0851 0.4185 0.1255

Values from the calculation:
Raw formation energy: -2.58 eV/atom
Total magnetization: 0.00 μB per formula unit

No. 5
The following is a PBE calculation of a relaxed structure of PmPrInSn, from the Alexandria database.

a b c (Å): 7.768 7.768 7.768
angles (deg): 90.00 90.00 90.00
Space group F-43m (No. 216)
Inequivalent atoms, fractional coordinates:
Pm 0.000 0.000 0.000
Pr 0.000 0.000 0.500
In 0.250 0.250 0.250
Sn 0.250 0.250 0.750

Values from the calculation:
Offset from the most stable computed form: 101 meV/atom
Total magnetization: 0.00 μB per formula unit
DFT formation energy: -0.542 eV/atom

No. 6
The following is a PBE calculation of a relaxed structure of La4TbSn2, from the Alexandria database.

a b c (Å): 5.566 5.566 16.769
angles (deg): 90.00 90.00 90.00
Space group I4/mmm (No. 139)
Inequivalent atoms, fractional coordinates:
La 0.000 0.000 0.182
La 0.000 0.500 0.000
Tb 0.000 0.000 0.000
Sn 0.000 0.000 0.369

Values from the calculation:
Total magnetization: 0.42 μB per formula unit
DFT formation energy: 0.134 eV/atom

No. 7
The following is a PBE calculation of a relaxed structure of RbCd3Sn, from the Alexandria database.

a b c (Å): 5.042 5.042 12.238
angles (deg): 90.00 90.00 90.00
Space group I4mm (No. 107)
Inequivalent atoms, fractional coordinates:
Rb 0.000 0.000 0.000
Cd 0.000 0.000 0.617
Cd 0.000 0.500 0.253
Sn 0.000 0.000 0.378

Values from the calculation:
Offset from the most stable computed form: 11 meV/atom
Total magnetization: 0.00 μB per formula unit
DFT formation energy: -0.096 eV/atom

No. 8
The following is a PBE calculation of a relaxed structure of MgTiS2, from the Alexandria database.

a b c (Å): 3.6993 3.6993 22.1889
angles (deg): 90.00 90.00 120.00
Space group R-3m (No. 166, hexagonal axes)
Inequivalent atoms, fractional coordinates:
Mg 0.0000 0.0000 0.0000
Ti 0.0000 0.0000 0.5000
S 0.0000 0.0000 0.3976

Values from the calculation:
Raw formation energy: -0.70 eV/atom
Total magnetization: 0.00 μB per formula unit

No. 9
The following is a PBE calculation of a relaxed structure of CdTcSn2, from the Alexandria database.

a b c (Å): 3.229 3.229 8.532
angles (deg): 90.00 90.00 90.00
Space group P4/mmm (No. 123)
Inequivalent atoms, fractional coordinates:
Cd 0.000 0.000 0.000
Tc 0.000 0.000 0.500
Sn 0.500 0.500 0.305

Values from the calculation:
Total magnetization: 0.00 μB per formula unit
DFT formation energy: 0.197 eV/atom

No. 10
The following is a PBE calculation of a relaxed structure of Cd2AgMo, from the Alexandria database.

a b c (Å): 2.853 2.853 9.011
angles (deg): 90.00 90.00 90.00
Space group P4/mmm (No. 123)
Inequivalent atoms, fractional coordinates:
Cd 0.000 0.000 0.247
Ag 0.500 0.500 0.500
Mo 0.500 0.500 0.000

Values from the calculation:
Offset from the most stable computed form: 0 meV/atom
Total magnetization: 0.00 μB per formula unit
DFT formation energy: 0.230 eV/atom

No. 11
The following is a PBE calculation of a relaxed structure of Li11Tl4Cd9, from the Alexandria database.

a b c (Å): 13.874 20.781 3.338
angles (deg): 90.00 90.00 90.00
Space group Cmmm (No. 65)
Inequivalent atoms, fractional coordinates:
Li 0.000 0.000 0.000
Li 0.000 0.175 0.000
Li 0.000 0.353 0.000
Li 0.227 0.000 0.000
Li 0.231 0.178 0.000
Tl 0.161 0.407 0.500
Cd 0.000 0.500 0.500
Cd 0.112 0.088 0.500
Cd 0.114 0.258 0.500

Values from the calculation:
Total magnetization: 0.00 μB per formula unit
DFT formation energy: -0.208 eV/atom

No. 12
The following is a PBE calculation of a relaxed structure of PmThInTc, from the Alexandria database.

a b c (Å): 7.408 7.408 7.408
angles (deg): 90.00 90.00 90.00
Space group F-43m (No. 216)
Inequivalent atoms, fractional coordinates:
Pm 0.000 0.000 0.000
Th 0.000 0.000 0.500
In 0.250 0.250 0.250
Tc 0.250 0.250 0.750

Values from the calculation:
Total magnetization: 0.00 μB per formula unit
DFT formation energy: -0.038 eV/atom

No. 13
The following is a PBE calculation of a relaxed structure of Y6Tc2Ag, from the Alexandria database.

a b c (Å): 9.549 9.644 10.273
angles (deg): 90.00 90.00 90.00
Space group Immm (No. 71)
Inequivalent atoms, fractional coordinates:
Y 0.000 0.205 0.185
Y 0.188 0.219 0.500
Y 0.206 0.500 0.269
Tc 0.000 0.000 0.385
Tc 0.128 0.000 0.000
Ag 0.000 0.500 0.000
Ag 0.000 0.500 0.500

Values from the calculation:
Total magnetization: 0.00 μB per formula unit
DFT formation energy: -0.104 eV/atom

No. 14
The following is a PBE calculation of a relaxed structure of Y8Er2Th3, from the Alexandria database.

a b c (Å): 5.651 6.813 22.200
angles (deg): 90.00 90.00 90.00
Space group Immm (No. 71)
Inequivalent atoms, fractional coordinates:
Y 0.000 0.000 0.075
Y 0.000 0.262 0.349
Y 0.000 0.500 0.186
Er 0.000 0.000 0.223
Th 0.000 0.268 0.500
Th 0.000 0.500 0.000

Values from the calculation:
Offset from the most stable computed form: 0 meV/atom
Total magnetization: 0.00 μB per formula unit
DFT formation energy: 0.161 eV/atom

No. 15
The following is a PBE calculation of a relaxed structure of ZrWBr2, from the Alexandria database.

a b c (Å): 3.157 4.939 10.233
angles (deg): 90.00 90.00 90.00
Space group Imm2 (No. 44)
Inequivalent atoms, fractional coordinates:
Zr 0.000 0.000 0.000
W 0.000 0.500 0.233
Br 0.000 0.000 0.522
Br 0.000 0.500 0.735

Values from the calculation:
Offset from the most stable computed form: 582 meV/atom
Raw formation energy: 0.51 eV/atom
Total magnetization: 0.00 μB per formula unit

No. 16
The following is a PBE calculation of a relaxed structure of Tb2HoRe, from the Alexandria database.

a b c (Å): 3.2288 3.2288 34.0061
angles (deg): 90.00 90.00 120.00
Space group R-3m (No. 166, hexagonal axes)
Inequivalent atoms, fractional coordinates:
Tb 0.0000 0.0000 0.0789
Ho 0.0000 0.0000 0.5000
Re 0.0000 0.0000 0.0000

Values from the calculation:
Total magnetization: 0.31 μB per formula unit
DFT formation energy: 0.801 eV/atom

No. 17
The following is a PBE calculation of a relaxed structure of Mn2FeRu, from the Alexandria database.

a b c (Å): 3.506 3.506 16.355
angles (deg): 90.00 90.00 90.00
Space group I-42d (No. 122)
Inequivalent atoms, fractional coordinates:
Mn 0.200 0.250 0.125
Fe 0.000 0.000 0.000
Ru 0.000 0.000 0.500

Values from the calculation:
Offset from the most stable computed form: 638 meV/atom
Total magnetization: 0.00 μB per formula unit
DFT formation energy: 0.653 eV/atom

No. 18
The following is a PBE calculation of a relaxed structure of Ba2ErBe2O6, from the Alexandria database.

a b c (Å): 5.6965 5.6965 17.1942
angles (deg): 90.00 90.00 120.00
Space group R-3m (No. 166, hexagonal axes)
Inequivalent atoms, fractional coordinates:
Ba 0.0000 0.0000 0.2196
Er 0.0000 0.0000 0.0000
Be 0.0000 0.0000 0.4185
O 0.0203 0.5101 0.2517

Values from the calculation:
Raw formation energy: -2.71 eV/atom
Total magnetization: 0.97 μB per formula unit

No. 19
The following is a PBE calculation of a relaxed structure of LaDy2Rh, from the Alexandria database.

a b c (Å): 3.826 9.631 6.403
angles (deg): 90.00 107.37 90.00
Space group P2_1/m (No. 11)
Inequivalent atoms, fractional coordinates:
La 0.075 0.250 0.152
Dy 0.358 0.069 0.716
Rh 0.243 0.750 0.486

Values from the calculation:
Offset from the most stable computed form: 33 meV/atom
Total magnetization: 0.00 μB per formula unit
DFT formation energy: -0.471 eV/atom

No. 20
The following is a PBE calculation of a relaxed structure of TcTeSe2, from the Alexandria database.

a b c (Å): 9.361 9.361 5.728
angles (deg): 90.00 90.00 90.00
Space group I4/mcm (No. 140)
Inequivalent atoms, fractional coordinates:
Tc 0.000 0.500 0.250
Te 0.000 0.000 0.250
Se 0.141 0.359 0.000

Values from the calculation:
Raw formation energy: -0.05 eV/atom
Total magnetization: 0.00 μB per formula unit

No. 21
The following is a PBE calculation of a relaxed structure of Er2MgW, from the Alexandria database.

a b c (Å): 7.132 7.132 7.132
angles (deg): 90.00 90.00 90.00
Space group Fm-3m (No. 225)
Inequivalent atoms, fractional coordinates:
Er 0.250 0.250 0.250
Mg 0.000 0.000 0.000
W 0.000 0.000 0.500

Values from the calculation:
Total magnetization: 0.60 μB per formula unit
DFT formation energy: 0.346 eV/atom

No. 22
The following is a PBE calculation of a relaxed structure of PuGa3Os, from the Alexandria database.

a b c (Å): 5.125 7.389 9.636
angles (deg): 90.00 90.00 90.00
Space group Imma (No. 74)
Inequivalent atoms, fractional coordinates:
Pu 0.000 0.250 0.007
Ga 0.000 0.250 0.318
Ga 0.250 0.066 0.750
Os 0.000 0.000 0.500

Values from the calculation:
Total magnetization: 4.84 μB per formula unit
DFT formation energy: -0.056 eV/atom